Entry 1:
Entry from the Alexandria database: a relaxed LaZr2Mn crystal (PBE).

Summary:
Size of the total moment ... 2.937 μB/f.u.
E_tot ... -29.67 eV for the cell shown
Energy of formation from the pure elements ... 381 meV/atom
Energy above the lowest structure with this stoichiometry ... 292 meV/atom

abc: 5.2120 5.2120 3.3143
angles: 90.00 90.00 89.92
Last column: nearest neighbours and their distance in Å.
Fractional coordinates of all 4 atoms:
La1 0.5000 0.0000 0.5000  8 Zr 3.09, 2 La 3.31
Mn1 0.0000 0.5000 0.5000  8 Zr 3.09, 2 Mn 3.31
Zr1 0.0000 0.0000 0.0000  4 Mn 3.09, 4 La 3.09, 2 Zr 3.31
Zr2 0.5000 0.5000 0.0000  4 La 3.09, 4 Mn 3.09, 2 Zr 3.31

=====

Entry 2:
Entry from the Alexandria database: a relaxed La2ZrMn crystal (PBE).

Summary:
Size of the total moment ... 3.048 μB/f.u.
E_tot ... -25.93 eV for the cell shown
Energy of formation from the pure elements ... 410 meV/atom
Energy above the lowest structure with this stoichiometry ... 253 meV/atom

abc: 3.4049 5.5476 5.4485
angles: 90.00 90.00 90.00
Last column: nearest neighbours and their distance in Å.
Fractional coordinates of all 4 atoms:
La1 0.0000 0.0000 0.0000  4 Mn 3.21, 6 La 3.25-3.40
La2 0.5000 0.5000 0.0000  4 Zr 3.21, 6 La 3.25-3.40
Mn1 0.5000 0.0000 0.5000  4 La 3.21, 4 Zr 3.25, 2 Mn 3.40
Zr1 0.0000 0.5000 0.5000  4 La 3.21, 4 Mn 3.25, 2 Zr 3.40

=====

Please write out number 1 again, unchanged.
Entry from the Alexandria database: a relaxed LaZr2Mn crystal (PBE).

Summary:
Size of the total moment ... 2.937 μB/f.u.
E_tot ... -29.67 eV for the cell shown
Energy of formation from the pure elements ... 381 meV/atom
Energy above the lowest structure with this stoichiometry ... 292 meV/atom

abc: 5.2120 5.2120 3.3143
angles: 90.00 90.00 89.92
Last column: nearest neighbours and their distance in Å.
Fractional coordinates of all 4 atoms:
La1 0.5000 0.0000 0.5000  8 Zr 3.09, 2 La 3.31
Mn1 0.0000 0.5000 0.5000  8 Zr 3.09, 2 Mn 3.31
Zr1 0.0000 0.0000 0.0000  4 Mn 3.09, 4 La 3.09, 2 Zr 3.31
Zr2 0.5000 0.5000 0.0000  4 La 3.09, 4 Mn 3.09, 2 Zr 3.31

=====

- Among the records above, which one has the lowest energy above the lowest structure with this stoichiometry?
  La2ZrMn

=====

- energy above the lowest structure with this stoichiometry of number 2 (La2ZrMn)?
  253 meV/atom

=====

Repeat the first record exactly.
Entry from the Alexandria database: a relaxed LaZr2Mn crystal (PBE).

Summary:
Size of the total moment ... 2.937 μB/f.u.
E_tot ... -29.67 eV for the cell shown
Energy of formation from the pure elements ... 381 meV/atom
Energy above the lowest structure with this stoichiometry ... 292 meV/atom

abc: 5.2120 5.2120 3.3143
angles: 90.00 90.00 89.92
Last column: nearest neighbours and their distance in Å.
Fractional coordinates of all 4 atoms:
La1 0.5000 0.0000 0.5000  8 Zr 3.09, 2 La 3.31
Mn1 0.0000 0.5000 0.5000  8 Zr 3.09, 2 Mn 3.31
Zr1 0.0000 0.0000 0.0000  4 Mn 3.09, 4 La 3.09, 2 Zr 3.31
Zr2 0.5000 0.5000 0.0000  4 La 3.09, 4 Mn 3.09, 2 Zr 3.31